(1)
First-principles (meta-GGA SCAN) data for NaHfTa3 at its PBEsol-relaxed geometry, as listed in Alexandria via LeMat-Bulk.

E   -51.165 eV/atom
Formation enthalpy at 0 K   208.66 kJ per mole of atoms
Density   12.32 g cm⁻³
Crystal system   cubic

extended XYZ file:
```
5
Lattice="-1.787 -2.452 -3.518 1.954 -3.859 1.697 -3.818 -0.826 2.516" Properties=species:S:1:pos:R:3 pbc="T T T"
Na 0.000 0.000 0.000
Hf -1.826 -3.569 0.347
Ta 0.977 -1.929 0.849
Ta -1.909 -0.413 1.258
Ta -0.894 -1.226 -1.759
```

---

(2)
First-principles (meta-GGA SCAN) data for NaHf3Te at its PBEsol-relaxed geometry, as listed in Alexandria via LeMat-Bulk.

E   -44.954 eV/atom
Density   7.87 g cm⁻³
Crystal system   cubic

extended XYZ file:
```
5
Lattice="5.250 0.000 0.000 0.000 5.250 0.000 0.000 0.000 5.250" Properties=species:S:1:pos:R:3 pbc="T T T"
Na 2.625 2.625 2.625
Te 0.000 0.000 0.000
Hf 0.000 2.625 0.000
Hf 0.000 0.000 2.625
Hf 2.625 0.000 0.000
```

---

(3)
First-principles (meta-GGA SCAN) data for NaHfTl3 at its PBEsol-relaxed geometry, as listed in Alexandria via LeMat-Bulk.

E   -56.550 eV/atom
Offset from the most stable computed form   0 meV per atom
Formation enthalpy at 0 K   23.44 kJ per mole of atoms
Density   7.90 g cm⁻³
Crystal system   cubic

extended XYZ file:
```
5
Lattice="-3.254 0.119 4.498 -0.982 -5.436 -0.566 4.392 -1.127 3.206" Properties=species:S:1:pos:R:3 pbc="T T T"
Na 0.078 -3.222 3.569
Tl -0.491 -2.718 -0.283
Tl 2.196 -0.563 1.603
Tl -1.627 0.060 2.249
Hf 0.000 0.000 0.000
```

---

(4)
First-principles (meta-GGA SCAN) data for Na2HfTlW at its PBEsol-relaxed geometry, as listed in Alexandria via LeMat-Bulk.

E   -40.886 eV/atom
Formation enthalpy at 0 K   168.24 kJ per mole of atoms
Density   7.53 g cm⁻³
Crystal system   tetragonal

extended XYZ file:
```
5
Lattice="-0.377 1.188 4.776 2.123 -4.282 1.233 4.989 2.415 -0.206" Properties=species:S:1:pos:R:3 pbc="T T T"
Na 1.062 -2.141 0.616
Na -0.189 0.594 2.388
Tl 0.000 0.000 0.000
Hf 2.494 1.207 -0.103
W 3.367 -0.340 2.901
```

---

(5)
First-principles (meta-GGA SCAN) data for Na3HfW at its PBEsol-relaxed geometry, as listed in Alexandria via LeMat-Bulk.

E   -26.369 eV/atom
Formation enthalpy at 0 K   253.97 kJ per mole of atoms
Density   3.98 g cm⁻³
Crystal system   cubic

extended XYZ file:
```
5
Lattice="-0.336 1.589 -5.407 -4.551 -3.271 -0.678 -3.324 4.318 1.476" Properties=species:S:1:pos:R:3 pbc="T T T"
Na -2.275 -1.636 -0.339
Na -1.662 2.159 0.738
Na -0.168 0.794 -2.703
Hf 0.000 0.000 0.000
W -4.105 1.318 -2.305
```

---

(6)
First-principles (meta-GGA SCAN) data for Na2YHf at its PBEsol-relaxed geometry, as listed in Alexandria via LeMat-Bulk.

E   -23.893 eV/atom
Formation enthalpy at 0 K   81.43 kJ per mole of atoms
Density   4.94 g cm⁻³
Crystal system   cubic

extended XYZ file:
```
4
Lattice="-0.083 -5.269 0.579 1.955 -2.214 4.403 -3.274 -2.228 3.525" Properties=species:S:1:pos:R:3 pbc="T T T"
Y 0.000 0.000 0.000
Na -0.351 -2.428 2.127
Na -1.052 -7.283 6.381
Hf -0.701 -4.856 4.254
```

---

(7)
First-principles (meta-GGA SCAN) data for HfNbNi2 at its PBEsol-relaxed geometry, as listed in Alexandria via LeMat-Bulk.

E   -32.235 eV/atom
Formation enthalpy at 0 K   -19.10 kJ per mole of atoms
Density   10.94 g cm⁻³
Crystal system   cubic

extended XYZ file:
```
4
Lattice="4.370 0.000 0.000 2.185 3.784 0.000 2.185 1.261 3.568" Properties=species:S:1:pos:R:3 pbc="T T T"
Ni 2.185 1.261 0.892
Ni 6.555 3.784 2.676
Nb 0.000 0.000 0.000
Hf 4.370 2.523 1.784
```

---

(8)
First-principles (meta-GGA SCAN) data for Hf3NbO at its PBEsol-relaxed geometry, as listed in Alexandria via LeMat-Bulk.

E   -46.611 eV/atom
Density   12.59 g cm⁻³
Crystal system   cubic

extended XYZ file:
```
5
Lattice="-3.331 -1.221 -2.596 0.358 -4.124 1.480 -2.847 0.910 3.225" Properties=species:S:1:pos:R:3 pbc="T T T"
Nb -2.910 -2.218 1.054
Hf 0.179 -2.062 0.740
Hf -1.423 0.455 1.612
Hf -1.666 -0.611 -1.298
O 0.000 0.000 0.000
```

---

(9)
First-principles (meta-GGA SCAN) data for HfNbOs3 at its PBEsol-relaxed geometry, as listed in Alexandria via LeMat-Bulk.

E   -60.201 eV/atom
Formation enthalpy at 0 K   201.42 kJ per mole of atoms
Density   13.98 g cm⁻³
Crystal system   cubic

extended XYZ file:
```
5
Lattice="-0.831 -0.652 4.520 -4.159 -1.791 -1.023 1.887 -4.233 -0.263" Properties=species:S:1:pos:R:3 pbc="T T T"
Hf 0.000 0.000 0.000
Nb -1.551 -3.338 1.617
Os -2.079 -0.895 -0.512
Os 0.944 -2.116 -0.132
Os -0.416 -0.326 2.260
```

---

(10)
First-principles (meta-GGA SCAN) data for SrHf2NbOs at its PBEsol-relaxed geometry, as listed in Alexandria via LeMat-Bulk.

E   -47.999 eV/atom
Formation enthalpy at 0 K   243.87 kJ per mole of atoms
Density   11.01 g cm⁻³
Crystal system   tetragonal

extended XYZ file:
```
5
Lattice="4.624 0.000 0.000 0.000 4.873 0.000 0.000 0.000 4.873" Properties=species:S:1:pos:R:3 pbc="T T T"
Hf 0.000 0.000 2.436
Hf 0.000 2.436 0.000
Nb 2.312 2.436 2.436
Os 2.312 0.000 0.000
Sr 0.000 0.000 0.000
```

---

(11)
First-principles (meta-GGA SCAN) data for Hf2NbP2 at its PBEsol-relaxed geometry, as listed in Alexandria via LeMat-Bulk.

E   -36.971 eV/atom
Formation enthalpy at 0 K   -107.74 kJ per mole of atoms
Density   10.54 g cm⁻³
Crystal system   tetragonal

extended XYZ file:
```
10
Lattice="-1.934 2.984 -0.274 -5.607 -3.680 -0.505 -0.705 0.158 6.686" Properties=species:S:1:pos:R:3 pbc="T T T"
P -2.627 -1.191 5.571
P -5.275 -3.066 3.843
P -3.685 -2.332 0.611
P -1.037 -0.457 2.339
Nb 0.000 0.000 0.000
Nb -3.156 -1.761 3.091
Hf -2.345 0.998 4.211
Hf -5.272 -0.814 5.128
Hf -5.900 -1.537 1.697
Hf -2.974 0.275 0.779
```

---

(12)
First-principles (meta-GGA SCAN) data for Hf2NbPt at its PBEsol-relaxed geometry, as listed in Alexandria via LeMat-Bulk.

E   -57.831 eV/atom
Formation enthalpy at 0 K   -64.02 kJ per mole of atoms
Density   15.02 g cm⁻³
Crystal system   cubic

extended XYZ file:
```
4
Lattice="-0.734 4.119 -2.040 -4.022 0.828 -2.191 -3.072 2.985 1.822" Properties=species:S:1:pos:R:3 pbc="T T T"
Nb 0.000 0.000 0.000
Hf -1.957 1.983 -0.602
Hf -5.871 5.948 -1.807
Pt -3.914 3.966 -1.204
```

---

> Look up the density of the eleventh one.

10.54 g cm⁻³